Below is AcMn2MoO8 after structural relaxation, with properties calculated at the GGA+U level.

Computed properties:
The value obtained for the total energy is -7.265 eV per atom. For the calculated density, the calculation gives 5.684 g cm⁻³. Its density of states at the Fermi level is 5.05 states/eV/f.u.

Geometry as POSCAR:
```
AcMn2MoO8
1.0
4.903 0.000 0.000
0.700 4.855 0.000
0.989 0.868 6.883
Ac Mn Mo O
1 2 1 8
direct
0.000 0.000 0.000
0.462 0.462 0.235
0.538 0.538 0.765
0.000 0.000 0.500
0.205 0.788 0.705
0.210 0.792 0.296
0.263 0.260 0.446
0.341 0.337 0.991
0.659 0.663 0.009
0.737 0.740 0.554
0.790 0.208 0.704
0.795 0.212 0.295
```